# 1
VASP calculation (PBE-GGA) on a relaxed Ba2SrCdO crystal.

Geometry as CIF:
```
data_Ba2SrCdO
_cell_length_a 5.722
_cell_length_b 5.722
_cell_length_c 5.036
_cell_angle_alpha 90.00
_cell_angle_beta 90.00
_cell_angle_gamma 90.00
_space_group_name_H-M_alt 'P 4/m m m'
_space_group_IT_number 123
_space_group_name_Hall '-P 4 2'
loop_
_atom_site_label
_atom_site_type_symbol
_atom_site_fract_x
_atom_site_fract_y
_atom_site_fract_z
Ba1 Ba 0.000 0.500 0.000
Sr1 Sr 0.000 0.000 0.500
Cd1 Cd 0.500 0.500 0.500
O1 O 0.000 0.000 0.000
```

---

# 2
VASP calculation (PBE-GGA) on a relaxed YZr2Te crystal.

Geometry as CIF:
```
data_YZr2Te
_cell_length_a 3.5634
_cell_length_b 3.5634
_cell_length_c 28.6562
_cell_angle_alpha 90.00
_cell_angle_beta 90.00
_cell_angle_gamma 120.00
_space_group_name_H-M_alt 'R -3 m'
_space_group_IT_number 166
_space_group_name_Hall '-R 3 2"'
loop_
_atom_site_label
_atom_site_type_symbol
_atom_site_fract_x
_atom_site_fract_y
_atom_site_fract_z
Y1 Y 0.0000 0.0000 0.0000
Zr1 Zr 0.0000 0.0000 0.2408
Te1 Te 0.0000 0.0000 0.5000
```

---

# 3
VASP calculation (PBE-GGA) on a relaxed KCo2Si crystal.

Geometry as CIF:
```
data_KCo2Si
_cell_length_a 7.676
_cell_length_b 2.868
_cell_length_c 7.474
_cell_angle_alpha 90.00
_cell_angle_beta 112.97
_cell_angle_gamma 90.00
_space_group_name_H-M_alt 'C 1 m 1'
_space_group_IT_number 8
_space_group_name_Hall 'C -2y'
loop_
_atom_site_label
_atom_site_type_symbol
_atom_site_fract_x
_atom_site_fract_y
_atom_site_fract_z
K1 K 0.000 0.000 0.000
Co1 Co 0.107 0.000 0.618
Co2 Co 0.406 0.000 0.369
Si1 Si 0.254 0.500 0.490
```

---

Number 1: formation energy (no corrections) -1.1260 eV per atom. Number 2: formation energy (no corrections) -0.2156 eV per atom. Number 3: formation energy (no corrections) 0.3347 eV per atom.